[1]
First-principles (GGA-PBE) data for a relaxed structure of Sr2Ga3Ag, as listed in Alexandria.

Total magnetization = 0.0 μB per cell
Formation energy from the elements = -0.43 eV per atom
Crystal system = orthorhombic

a = 6.2756 Å, b = 6.2756 Å, c = 9.1975 Å
α = 111.45°, β = 111.45°, γ = 85.88°
Sites, in units of the cell vectors:
Sr 0.2616 0.7384 0.0000
Sr 0.2500 0.7500 0.5000
Sr 0.7384 0.2616 0.0000
Sr 0.7500 0.2500 0.5000
Ga 0.3238 0.3238 0.1640
Ga 0.1597 0.1597 0.8360
Ga 0.8403 0.8403 0.1640
Ga 0.8373 0.8373 0.6746
Ga 0.1627 0.1627 0.3254
Ga 0.6762 0.6762 0.8360
Ag 0.3323 0.3323 0.6646
Ag 0.6677 0.6677 0.3354

***

[2]
First-principles (GGA-PBE) data for a relaxed structure of Sr2GaAg2, as listed in Alexandria.

Total magnetization = 0.0 μB per cell
Formation energy from the elements = -0.07 eV per atom
ΔE to the lowest computed polymorph = 256 meV/atom
Crystal system = tetragonal

a = 8.8390 Å, b = 8.8390 Å, c = 3.9869 Å
α = 90.00°, β = 90.00°, γ = 90.00°
Sites, in units of the cell vectors:
Ag 0.1169 0.6169 0.5000
Ag 0.6169 0.8831 0.5000
Ag 0.8831 0.3831 0.5000
Ag 0.3831 0.1169 0.5000
Ga 0.0000 0.0000 0.0000
Ga 0.5000 0.5000 0.0000
Sr 0.1738 0.3262 0.0000
Sr 0.3262 0.8262 0.0000
Sr 0.6738 0.1738 0.0000
Sr 0.8262 0.6738 0.0000